(1)
Entry from Alexandria: a relaxed structure of K4Th3ScS8 (PBE-GGA). Values from VASP.

Quantum ESPRESSO input file:
```
&SYSTEM
  ibrav = 0, nat = 16, ntyp = 4
/
ATOMIC_SPECIES
S 32.06 S.upf
K 39.10 K.upf
Sc 44.96 Sc.upf
Th 232.04 Th.upf
CELL_PARAMETERS angstrom
-4.041 -6.902 1.197
5.399 -2.002 6.685
-3.891 7.080 0.370
ATOMIC_POSITIONS crystal
S 0.260 0.280 0.520
S 0.750 0.705 0.977
K 0.500 0.000 0.000
K 0.000 0.000 0.000
S 0.772 0.295 0.023
Sc 0.000 0.500 0.000
S 0.228 0.705 0.977
Th 0.500 0.500 0.500
S 0.772 0.295 0.544
S 0.228 0.705 0.456
S 0.740 0.720 0.480
Th 0.500 0.500 0.000
S 0.250 0.295 0.023
K 0.000 0.000 0.500
K 0.500 0.000 0.500
Th 0.000 0.500 0.500
```

Summary:
Total moment, μB/f.u.: 0.000
E_form (uncorrected), eV per atom: -1.69

(2)
Entry from Alexandria: a relaxed structure of KThSc4S8 (PBE-GGA). Values from VASP.

Quantum ESPRESSO input file:
```
&SYSTEM
  ibrav = 0, nat = 14, ntyp = 4
/
ATOMIC_SPECIES
S 32.06 S.upf
Sc 44.96 Sc.upf
Th 232.04 Th.upf
K 39.10 K.upf
CELL_PARAMETERS angstrom
7.789 0.000 0.000
3.895 6.746 0.000
3.895 2.249 6.702
ATOMIC_POSITIONS crystal
S 0.228 0.228 0.317
Sc 0.003 0.003 0.504
S 0.235 0.749 0.266
S 0.749 0.235 0.266
S 0.749 0.749 0.266
Th 0.004 0.004 0.989
Sc 0.629 0.629 0.113
S 0.244 0.244 0.714
S 0.244 0.798 0.714
Sc 0.003 0.489 0.504
S 0.758 0.758 0.725
K 0.365 0.365 0.905
Sc 0.489 0.003 0.504
S 0.798 0.244 0.714
```

Summary:
Total moment, μB/f.u.: 0.000
E_form (uncorrected), eV per atom: -1.74

(3)
Entry from Alexandria: a relaxed structure of KTm4ScS8 (PBE-GGA). Values from VASP.

Quantum ESPRESSO input file:
```
&SYSTEM
  ibrav = 0, nat = 14, ntyp = 4
/
ATOMIC_SPECIES
S 32.06 S.upf
Tm 168.93 Tm.upf
Sc 44.96 Sc.upf
K 39.10 K.upf
CELL_PARAMETERS angstrom
8.124 0.000 0.000
4.062 7.036 0.000
4.062 2.345 6.460
ATOMIC_POSITIONS crystal
S 0.758 0.758 0.727
Tm 0.624 0.624 0.129
S 0.225 0.225 0.746
S 0.225 0.804 0.746
S 0.236 0.236 0.293
S 0.759 0.759 0.257
S 0.804 0.225 0.746
Tm 0.005 0.005 0.503
Tm 0.487 0.005 0.503
Sc 0.007 0.007 0.980
S 0.759 0.225 0.257
K 0.382 0.382 0.854
S 0.225 0.759 0.257
Tm 0.005 0.487 0.503
```

Summary:
Total moment, μB/f.u.: 0.000
E_form (uncorrected), eV per atom: -1.89

(4)
Entry from Alexandria: a relaxed structure of K3Tm2ScS6 (PBE-GGA). Values from VASP.

Quantum ESPRESSO input file:
```
&SYSTEM
  ibrav = 0, nat = 12, ntyp = 4
/
ATOMIC_SPECIES
S 32.06 S.upf
K 39.10 K.upf
Tm 168.93 Tm.upf
Sc 44.96 Sc.upf
CELL_PARAMETERS angstrom
-5.858 -2.461 2.524
3.358 -3.464 -4.845
4.579 -1.631 5.949
ATOMIC_POSITIONS crystal
S 0.934 0.610 0.803
S 0.610 0.934 0.803
S 0.259 0.259 0.803
S 0.741 0.741 0.197
K 0.832 0.168 0.500
Tm 0.333 0.667 0.000
S 0.390 0.066 0.197
S 0.066 0.390 0.197
K 0.168 0.832 0.500
Sc 0.000 0.000 0.000
Tm 0.667 0.333 0.000
K 0.500 0.500 0.500
```

Summary:
Total moment, μB/f.u.: 0.000
E_form (uncorrected), eV per atom: -1.84

(5)
Entry from Alexandria: a relaxed structure of K3Tm3ScS8 (PBE-GGA). Values from VASP.

Quantum ESPRESSO input file:
```
&SYSTEM
  ibrav = 0, nat = 15, ntyp = 4
/
ATOMIC_SPECIES
S 32.06 S.upf
Sc 44.96 Sc.upf
Tm 168.93 Tm.upf
K 39.10 K.upf
CELL_PARAMETERS angstrom
-1.489 -5.796 -5.035
-0.738 -1.218 7.693
-6.199 4.895 -3.801
ATOMIC_POSITIONS crystal
S 0.774 0.034 0.308
Sc 0.000 0.000 0.500
Tm 0.000 0.500 0.500
Tm 0.500 0.000 0.500
K 0.000 0.500 0.000
S 0.226 0.966 0.692
Tm 0.500 0.500 0.500
S 0.260 0.034 0.308
K 0.500 0.500 0.000
S 0.733 0.467 0.700
K 0.000 0.000 0.000
S 0.226 0.452 0.692
S 0.774 0.548 0.308
S 0.740 0.966 0.692
S 0.267 0.533 0.300
```

Summary:
Total moment, μB/f.u.: 0.000
E_form (uncorrected), eV per atom: -1.77

(6)
Entry from Alexandria: a relaxed structure of K2ScUS6 (PBE-GGA). Values from VASP.

Quantum ESPRESSO input file:
```
&SYSTEM
  ibrav = 0, nat = 20, ntyp = 4
/
ATOMIC_SPECIES
K 39.10 K.upf
S 32.06 S.upf
Sc 44.96 Sc.upf
U 238.03 U.upf
CELL_PARAMETERS angstrom
-3.656 -5.728 2.348
5.713 -4.173 -1.284
3.374 1.716 9.438
ATOMIC_POSITIONS crystal
K 0.500 0.500 0.750
S 0.997 0.500 0.249
S 0.748 0.250 0.501
S 0.250 0.248 0.499
Sc 0.500 0.000 0.000
S 0.750 0.752 0.501
K 0.000 0.000 0.250
S 0.248 0.250 0.001
S 0.250 0.748 0.001
S 0.003 0.500 0.751
Sc 0.000 0.500 0.500
S 0.497 0.000 0.749
S 0.750 0.252 0.999
S 0.252 0.750 0.499
S 0.752 0.750 0.999
K 0.500 0.500 0.250
S 0.503 0.000 0.251
U 0.500 0.000 0.500
K 0.000 0.000 0.750
U 0.000 0.500 0.000
```

Summary:
Total moment, μB/f.u.: 0.000
E_form (uncorrected), eV per atom: -1.30

(7)
Entry from Alexandria: a relaxed structure of K4Sc3US8 (PBE-GGA). Values from VASP.

Quantum ESPRESSO input file:
```
&SYSTEM
  ibrav = 0, nat = 16, ntyp = 4
/
ATOMIC_SPECIES
S 32.06 S.upf
Sc 44.96 Sc.upf
K 39.10 K.upf
U 238.03 U.upf
CELL_PARAMETERS angstrom
-4.714 2.927 -5.477
-6.854 -2.252 4.696
5.291 4.577 3.442
ATOMIC_POSITIONS crystal
S 0.763 0.303 0.526
S 0.763 0.303 0.040
S 0.270 0.309 0.539
Sc 0.000 0.500 0.500
S 0.237 0.697 0.960
K 0.000 0.000 0.500
K 0.000 0.000 0.000
Sc 0.500 0.500 0.000
S 0.730 0.691 0.461
K 0.500 0.000 0.000
K 0.500 0.000 0.500
S 0.278 0.303 0.040
Sc 0.500 0.500 0.500
S 0.722 0.697 0.960
S 0.237 0.697 0.474
U 0.000 0.500 0.000
```

Summary:
Total moment, μB/f.u.: 3.016
E_form (uncorrected), eV per atom: -1.65

(8)
Entry from Alexandria: a relaxed structure of K3Sc2US6 (PBE-GGA). Values from VASP.

Quantum ESPRESSO input file:
```
&SYSTEM
  ibrav = 0, nat = 12, ntyp = 4
/
ATOMIC_SPECIES
S 32.06 S.upf
Sc 44.96 Sc.upf
K 39.10 K.upf
U 238.03 U.upf
CELL_PARAMETERS angstrom
6.793 -0.001 0.000
-3.396 5.883 0.000
-1.133 -1.961 7.343
ATOMIC_POSITIONS crystal
S 0.065 0.410 0.196
Sc 0.667 0.333 0.000
S 0.935 0.590 0.804
Sc 0.333 0.667 0.000
K 0.166 0.834 0.500
S 0.721 0.721 0.196
U 0.000 0.000 0.000
S 0.279 0.279 0.804
K 0.500 0.500 0.500
S 0.410 0.065 0.196
K 0.834 0.166 0.500
S 0.590 0.935 0.804
```

Summary:
Total moment, μB/f.u.: 3.019
E_form (uncorrected), eV per atom: -1.61

> Among the records above, which one has the highest E_form (uncorrected)?

K2ScUS6

> Among the records above, which one has the highest E_form (uncorrected)?

K2ScUS6